(1)
Computed, not measured: a relaxed structure of Th2TiAs3Rh4 at the GGA-PBE level of DFT.

The structure belongs to space group P-4m2 (No. 115); the cell edges are 4.143, 4.143 and 10.794 Å and the angles 90.00°, 90.00° and 90.00°. The asymmetric unit holds Th at (0.000, 0.500, 0.237), Ti at (0.000, 0.000, 0.500), As at (0.000, 0.500, 0.863), As at (0.500, 0.500, 0.500), Rh at (0.000, 0.000, 0.000), Rh at (0.000, 0.500, 0.636) and Rh at (0.500, 0.500, 0.000).

The value obtained for the electronic total energy is -75.72 eV for the cell shown. The formation energy is -0.964 eV per atom.

(2)
Computed, not measured: a relaxed structure of Sr2CuAg at the GGA-PBE level of DFT.

The structure belongs to space group C2/m (No. 12); the cell edges are 7.717, 7.731 and 3.888 Å and the angles 90.00°, 90.12° and 90.00°. The asymmetric unit holds Sr at (0.250, 0.250, 0.000), Cu at (0.000, 0.000, 0.500) and Ag at (0.000, 0.500, 0.500).

The value obtained for the electronic total energy is -21.49 eV for the cell shown. The formation energy is -0.109 eV per atom.

(3)
Computed, not measured: a relaxed structure of Tl2BiI at the GGA-PBE level of DFT.

The structure belongs to space group P4/mmm (No. 123); the cell edges are 6.001, 6.001 and 3.806 Å and the angles 90.00°, 90.00° and 90.00°. The asymmetric unit holds Tl at (0.000, 0.500, 0.000), Bi at (0.000, 0.000, 0.500) and I at (0.500, 0.500, 0.500).

The value obtained for the electronic total energy is -10.74 eV for the cell shown. The value obtained for the energy relative to the elements, uncorrected is -0.144 eV/atom.

(4)
Computed, not measured: a relaxed structure of NaMn3B at the GGA-PBE level of DFT.

The structure belongs to space group Pm-3m (No. 221); the cell edges are 4.129, 4.129 and 4.129 Å and the angles 90.00°, 90.00° and 90.00°. The asymmetric unit holds Na at (0.000, 0.000, 0.000), Mn at (0.000, 0.500, 0.500) and B at (0.500, 0.500, 0.500).

The value obtained for the electronic total energy is -33.19 eV for the cell shown. The formation energy is 0.463 eV per atom.

(5)
Computed, not measured: a relaxed structure of MnZnPt2 at the GGA-PBE level of DFT.

The structure belongs to space group Cm (No. 8); the cell edges are 9.439, 2.929 and 4.490 Å and the angles 90.00°, 106.39° and 90.00°. The asymmetric unit holds Mn at (0.000, 0.000, 0.000), Zn at (0.251, 0.000, 0.658), Pt at (0.007, 0.500, 0.506) and Pt at (0.245, 0.500, 0.152).

The value obtained for the electronic total energy is -48.15 eV for the cell shown. The formation energy is -0.387 eV per atom.

(6)
Computed, not measured: a relaxed structure of Ac3Dy at the GGA-PBE level of DFT.

The structure belongs to space group Pmma (No. 51); the cell edges are 5.532, 5.419 and 11.042 Å and the angles 90.00°, 90.00° and 90.00°. The asymmetric unit holds Ac at (0.250, 0.000, 0.118), Ac at (0.250, 0.000, 0.633), Ac at (0.250, 0.500, 0.370) and Dy at (0.250, 0.500, 0.882).

The value obtained for the electronic total energy is -33.47 eV for the cell shown. The formation energy is 0.048 eV per atom.

(7)
Computed, not measured: a relaxed structure of VCu6Pd8 at the GGA-PBE level of DFT.

The structure belongs to space group R-3 (No. 148, hexagonal axes); the cell edges are 7.7008, 7.7008 and 12.9034 Å and the angles 90.00°, 90.00° and 120.00°. The asymmetric unit holds V at (0.0000, 0.0000, 0.0000), Cu at (0.0333, 0.2116, 0.4131), Pd at (0.0000, 0.0000, 0.2437) and Pd at (0.0300, 0.2781, 0.9098).

The value obtained for the electronic total energy is -224.96 eV for the cell shown. The formation energy is 0.017 eV per atom.

(8)
Computed, not measured: a relaxed structure of PmTlSn at the GGA-PBE level of DFT.

The structure belongs to space group P3m1 (No. 156); the cell edges are 4.7654, 4.7654 and 4.4873 Å and the angles 90.00°, 90.00° and 120.00°. The asymmetric unit holds Pm at (0.0000, 0.0000, 0.0000), Tl at (0.6667, 0.3333, 0.6494) and Sn at (0.3333, 0.6667, 0.3812).

The value obtained for the electronic total energy is -12.31 eV for the cell shown. The formation energy is -0.398 eV per atom.

(9)
Computed, not measured: a relaxed structure of Ba3LiP2O8 at the GGA-PBE level of DFT.

The structure belongs to space group P-3m1 (No. 164); the cell edges are 5.7373, 5.7373 and 7.5080 Å and the angles 90.00°, 90.00° and 120.00°. The asymmetric unit holds Ba at (0.0000, 0.0000, 0.0000), Ba at (0.3333, 0.6667, 0.6721), Li at (0.0000, 0.0000, 0.5000), P at (0.3333, 0.6667, 0.2358), O at (0.1853, 0.3706, 0.3121) and O at (0.3333, 0.6667, 0.0314).

The value obtained for the electronic total energy is -93.74 eV for the cell shown. The value obtained for the energy relative to the elements, uncorrected is -2.541 eV/atom.

(10)
Computed, not measured: a relaxed structure of Sm6Ni2IrBr3 at the GGA-PBE level of DFT.

The structure belongs to space group C2/m (No. 12); the cell edges are 19.313, 4.068 and 9.001 Å and the angles 90.00°, 111.65° and 90.00°. The asymmetric unit holds Sm at (0.014, 0.000, 0.222), Sm at (0.155, 0.500, 0.122), Sm at (0.178, 0.500, 0.554), Ni at (0.169, 0.000, 0.341), Ir at (0.000, 0.500, 0.000), Br at (0.000, 0.500, 0.500) and Br at (0.167, 0.000, 0.832).

The value obtained for the electronic total energy is -129.43 eV for the cell shown. The value obtained for the energy relative to the elements, uncorrected is -0.913 eV/atom.

(11)
Computed, not measured: a relaxed structure of Zr3CdH at the GGA-PBE level of DFT.

The structure belongs to space group Ama2 (No. 40); the cell edges are 5.713, 8.072 and 8.012 Å and the angles 90.00°, 90.00° and 90.00°. The asymmetric unit holds Zr at (0.000, 0.000, 0.000), Zr at (0.250, 0.117, 0.641), Zr at (0.250, 0.372, 0.892), Cd at (0.250, 0.244, 0.261) and H at (0.250, 0.373, 0.634).

The value obtained for the electronic total energy is -123.47 eV for the cell shown.

(12)
Computed, not measured: a relaxed structure of FeTcOs at the GGA-PBE level of DFT.

The structure belongs to space group Amm2 (No. 38); the cell edges are 4.267, 8.063 and 4.618 Å and the angles 90.00°, 90.00° and 90.00°. The asymmetric unit holds Fe at (0.000, 0.000, 0.000), Fe at (0.500, 0.000, 0.325), Tc at (0.000, 0.161, 0.490) and Os at (0.500, 0.162, 0.835).

The value obtained for the electronic total energy is -120.35 eV for the cell shown. The formation energy is -0.010 eV per atom.

| no. | DOS(E_F) (states/eV/cell) |
| --- | --- |
| 1 | 6.5 |
| 2 | 7.0 |
| 3 | 2.5 |
| 4 | 4.7 |
| 5 | 3.8 |
| 6 | 13.0 |
| 7 | 16.7 |
| 8 | 0.6 |
| 9 | 4.1 |
| 10 | 16.6 |
| 11 | 20.6 |
| 12 | 12.5 |